# 1
VASP calculation (PBE-GGA) on Rb2HgP after structural relaxation.

**Theoretical density**: 3.0 g/cm³
**Symmetry**: I-42d
**E_tot**: -1.71 eV/atom
**Calculated formation energy**: 206.3 meV/atom
**E above lowest polymorph**: 87.6 kJ/mol of formula units

POSCAR file:
```
Rb2HgP
1.0
-3.3689 3.3689 9.9639
3.3689 -3.3689 9.9639
3.3689 3.3689 -9.9639
Rb Hg P
4 2 2
direct
0.0660 0.6250 0.9410
0.3750 0.3160 0.4410
0.6840 0.1250 0.0590
0.8750 0.9340 0.5590
0.2500 0.7500 0.5000
0.5000 0.5000 0.0000
0.0000 0.0000 0.0000
0.7500 0.2500 0.5000
```

# 2
VASP calculation (PBE-GGA) on Rb2HgP after structural relaxation.

**Theoretical density**: 4.6 g/cm³
**Symmetry**: Fm-3m
**E_tot**: -1.93 eV/atom
**Calculated formation energy**: -20.7 meV/atom
**E above lowest polymorph**: 0.0 kJ/mol of formula units

POSCAR file:
```
Rb2HgP
1.0
0.0000 4.1809 4.1809
4.1809 0.0000 4.1809
4.1809 4.1809 0.0000
Rb Hg P
2 1 1
direct
0.2500 0.2500 0.2500
0.7500 0.7500 0.7500
0.0000 0.0000 0.0000
0.5000 0.5000 0.5000
```

# 3
VASP calculation (PBE-GGA) on RbHg3P after structural relaxation.

**Theoretical density**: 3.8 g/cm³
**Symmetry**: Pm-3m
**E_tot**: -0.76 eV/atom
**Calculated formation energy**: 697.3 meV/atom
**E above lowest polymorph**: 303.7 kJ/mol of formula units

POSCAR file:
```
RbHg3P
1.0
6.7894 0.0000 0.0000
0.0000 6.7894 0.0000
0.0000 0.0000 6.7894
Rb Hg P
1 3 1
direct
0.0000 0.0000 0.0000
0.0000 0.0000 0.5000
0.0000 0.5000 0.0000
0.5000 0.0000 0.0000
0.5000 0.5000 0.5000
```

# 4
VASP calculation (PBE-GGA) on RbHgP3 after structural relaxation.

**Theoretical density**: 3.6 g/cm³
**Symmetry**: Pm-3m
**E_tot**: -1.46 eV/atom
**Calculated formation energy**: 2036.5 meV/atom
**E above lowest polymorph**: 562.3 kJ/mol of formula units

POSCAR file:
```
RbHgP3
1.0
5.6036 0.0000 0.0000
0.0000 5.6036 0.0000
0.0000 0.0000 5.6036
Rb Hg P
1 1 3
direct
0.0000 0.0000 0.0000
0.5000 0.5000 0.5000
0.0000 0.0000 0.5000
0.0000 0.5000 0.0000
0.5000 0.0000 0.0000
```

# 5
VASP calculation (PBE-GGA) on RbHg2P after structural relaxation.

**Theoretical density**: 6.8 g/cm³
**Symmetry**: R-3m
**E_tot**: -1.74 eV/atom
**Calculated formation energy**: 9.3 meV/atom

POSCAR file:
```
RbHg2P
1.0
2.3682 1.3673 6.4680
-2.3682 1.3673 6.4680
0.0000 -2.7346 6.4680
Rb Hg P
1 2 1
direct
0.0000 0.0000 0.0000
0.2122 0.2122 0.2122
0.7878 0.7878 0.7878
0.5000 0.5000 0.5000
```

# 6
VASP calculation (PBE-GGA) on RbHgP3 after structural relaxation.

**Theoretical density**: 4.5 g/cm³
**Symmetry**: Pm-3m
**E_tot**: -2.63 eV/atom
**Calculated formation energy**: 871.0 meV/atom
**E above lowest polymorph**: 0.0 kJ/mol of formula units

POSCAR file:
```
RbHgP3
1.0
5.1887 0.0000 0.0000
0.0000 5.1887 0.0000
0.0000 0.0000 5.1887
Rb Hg P
1 1 3
direct
0.0000 0.0000 0.0000
0.5000 0.5000 0.5000
0.0000 0.5000 0.5000
0.5000 0.0000 0.5000
0.5000 0.5000 0.0000
```

# 7
VASP calculation (PBE-GGA) on RbHgP after structural relaxation.

**Theoretical density**: 5.6 g/cm³
**Symmetry**: P-6m2
**E_tot**: -2.48 eV/atom
**Calculated formation energy**: -255.8 meV/atom

POSCAR file:
```
RbHgP
1.0
4.4629 0.0000 0.0000
-2.2315 3.8650 0.0000
0.0000 0.0000 5.4264
Rb Hg P
1 1 1
direct
0.0000 0.0000 0.0000
0.6667 0.3333 0.5000
0.3333 0.6667 0.5000
```

# 8
VASP calculation (PBE-GGA) on RbHgPRh after structural relaxation.

**Theoretical density**: 6.4 g/cm³
**Symmetry**: P4/nmm
**E_tot**: -4.01 eV/atom
**Calculated formation energy**: -497.9 meV/atom

POSCAR file:
```
RbHgPRh
1.0
4.0492 0.0000 0.0000
0.0000 4.0492 0.0000
0.0000 0.0000 13.2191
Rb Hg P Rh
2 2 2 2
direct
0.2500 0.2500 0.2458
0.7500 0.7500 0.7542
0.2500 0.7500 0.5000
0.7500 0.2500 0.5000
0.2500 0.2500 0.9072
0.7500 0.7500 0.0928
0.2500 0.7500 0.0000
0.7500 0.2500 0.0000
```

# 9
VASP calculation (PBE-GGA) on RbHgPS2 after structural relaxation.

**Theoretical density**: 4.5 g/cm³
**E_form (uncorrected)**: 0.376 eV per atom
**Symmetry**: P4/mmm
**E_tot**: -2.61 eV/atom
**E above lowest polymorph**: 0.0 kJ/mol of formula units

POSCAR file:
```
RbHgPS2
1.0
5.2717 0.0000 0.0000
0.0000 5.2717 0.0000
0.0000 0.0000 5.0832
Rb Hg P S
1 1 1 2
direct
0.0000 0.0000 0.0000
0.5000 0.5000 0.5000
0.5000 0.5000 0.0000
0.0000 0.5000 0.5000
0.5000 0.0000 0.5000
```

# 10
VASP calculation (PBE-GGA) on RbHgP2S after structural relaxation.

**Theoretical density**: 4.4 g/cm³
**E_form (uncorrected)**: 0.620 eV per atom
**Symmetry**: P4/mmm
**E_tot**: -2.62 eV/atom
**E above lowest polymorph**: 0.0 kJ/mol of formula units

POSCAR file:
```
RbHgP2S
1.0
5.1241 0.0000 0.0000
0.0000 5.1241 0.0000
0.0000 0.0000 5.4274
Rb Hg P S
1 1 2 1
direct
0.0000 0.0000 0.0000
0.5000 0.5000 0.5000
0.0000 0.5000 0.5000
0.5000 0.0000 0.5000
0.5000 0.5000 0.0000
```

# 11
VASP calculation (PBE-GGA) on RbHgPS2 after structural relaxation.

**Theoretical density**: 1.9 g/cm³
**E_form (uncorrected)**: 1.211 eV per atom
**Symmetry**: P4/mmm
**E_tot**: -1.78 eV/atom
**E above lowest polymorph**: 402.8 kJ/mol of formula units

POSCAR file:
```
RbHgPS2
1.0
6.6691 0.0000 0.0000
0.0000 6.6691 0.0000
0.0000 0.0000 7.3763
Rb Hg P S
1 1 1 2
direct
0.0000 0.0000 0.0000
0.5000 0.5000 0.5000
0.0000 0.0000 0.5000
0.0000 0.5000 0.0000
0.5000 0.0000 0.0000
```

# 12
VASP calculation (PBE-GGA) on RbHgP2S after structural relaxation.

**Theoretical density**: 2.1 g/cm³
**E_form (uncorrected)**: 1.453 eV per atom
**Symmetry**: P4/mmm
**E_tot**: -1.79 eV/atom
**E above lowest polymorph**: 401.9 kJ/mol of formula units

POSCAR file:
```
RbHgP2S
1.0
6.9937 0.0000 0.0000
0.0000 6.9937 0.0000
0.0000 0.0000 6.2122
Rb Hg P S
1 1 2 1
direct
0.0000 0.0000 0.0000
0.5000 0.5000 0.5000
0.0000 0.5000 0.0000
0.5000 0.0000 0.0000
0.0000 0.0000 0.5000
```

# 13
VASP calculation (PBE-GGA) on RbHg2P2S7 after structural relaxation.

**Theoretical density**: 3.1 g/cm³
**E_form (uncorrected)**: -0.221 eV per atom
**Symmetry**: R32
**E_tot**: -3.66 eV/atom

POSCAR file:
```
RbHg2P2S7
1.0
3.2338 1.8670 11.3162
-3.2338 1.8670 11.3162
0.0000 -3.7341 11.3162
Rb Hg P S
1 2 2 7
direct
0.0000 0.0000 0.0000
0.2436 0.2436 0.2436
0.7564 0.7564 0.7564
0.4353 0.4353 0.4353
0.5647 0.5647 0.5647
0.1373 0.3698 0.7338
0.2662 0.6302 0.8627
0.3698 0.7338 0.1373
0.5000 0.5000 0.5000
0.6302 0.8627 0.2662
0.7338 0.1373 0.3698
0.8627 0.2662 0.6302
```